Below is an optimized crystal structure of ReRu2Se, with properties calculated at the GGA-PBE level.

Lattice parameters (Å, degrees): 4.5922 4.5922 2.8622 90.00 90.00 90.00
With the nearest neighbours (Å) after each atom.
Fractional coordinates of all 4 atoms:
1 Re 0.0000 0.0000 0.0000  8 Ru 2.71, 2 Re 2.86
2 Ru 0.0000 0.5000 0.5000  4 Se 2.71, 4 Re 2.71, 2 Ru 2.86
3 Ru 0.5000 0.0000 0.5000  4 Se 2.71, 4 Re 2.71, 2 Ru 2.86
4 Se 0.5000 0.5000 0.0000  8 Ru 2.71, 2 Se 2.86

Symmetry: P4/mmm, No. 123
Uncorrected formation energy, meV per atom: 540
DOS at the Fermi energy, states/eV/f.u.: 5.76
Energy above the most stable polymorph in this dataset, meV/atom: 361